Entry 1:
{
  "formula": "Dy2ErIr",
  "functional": "PBE",
  "state": "relaxed",
  "lattice_angstrom": [[3.892, 0.000, 0.000], [0.000, 11.995, 0.000], [0.000, 0.000, 9.090]],
  "species": ["Dy", "Dy", "Dy", "Dy", "Dy", "Dy", "Dy", "Dy", "Er", "Er", "Er", "Er", "Ir", "Ir", "Ir", "Ir"],
  "fractional_positions": [[0.000, 0.141, 0.066], [0.000, 0.141, 0.434], [0.000, 0.859, 0.566], [0.000, 0.859, 0.934], [0.500, 0.359, 0.566], [0.500, 0.359, 0.934], [0.500, 0.641, 0.066], [0.500, 0.641, 0.434], [0.000, 0.425, 0.250], [0.000, 0.575, 0.750], [0.500, 0.075, 0.750], [0.500, 0.925, 0.250], [0.000, 0.246, 0.750], [0.000, 0.754, 0.250], [0.500, 0.254, 0.250], [0.500, 0.746, 0.750]],
  "e_above_lowest_polymorph_ev_per_atom": 0.0380,
  "formation_energy_ev_per_atom": -0.552,
  "space_group": "No. 63"
}

=====

Entry 2:
{
  "formula": "PuPPt3",
  "functional": "PBE",
  "state": "relaxed",
  "lattice_angstrom": [[4.026, 0.000, 0.000], [0.000, 4.026, 0.000], [0.000, 0.000, 11.026]],
  "species": ["Pu", "Pu", "P", "P", "Pt", "Pt", "Pt", "Pt", "Pt", "Pt"],
  "fractional_positions": [[0.000, 0.000, 0.000], [0.500, 0.500, 0.500], [0.000, 0.000, 0.371], [0.500, 0.500, 0.871], [0.000, 0.000, 0.577], [0.000, 0.500, 0.256], [0.000, 0.500, 0.756], [0.500, 0.000, 0.256], [0.500, 0.000, 0.756], [0.500, 0.500, 0.077]],
  "formation_energy_ev_per_atom": -0.809,
  "space_group": "No. 107"
}

=====

Entry 3:
{
  "formula": "CoBSb2I",
  "functional": "PBE",
  "state": "relaxed",
  "lattice_angstrom": [[4.807, 0.000, 0.000], [0.000, 4.807, 0.000], [0.000, 0.000, 4.883]],
  "species": ["Co", "B", "Sb", "Sb", "I"],
  "fractional_positions": [[0.000, 0.000, 0.000], [0.500, 0.500, 0.500], [0.000, 0.500, 0.500], [0.500, 0.000, 0.500], [0.500, 0.500, 0.000]],
  "e_above_lowest_polymorph_ev_per_atom": 0.0357,
  "e_form_raw_ev_per_atom": 1.239,
  "space_group": "No. 123"
}

=====

Entry 4:
{
  "formula": "CdIr",
  "functional": "PBE",
  "state": "relaxed",
  "lattice_angstrom": [[4.444, 0.000, 0.000], [-2.222, 3.849, 0.000], [0.000, 0.000, 8.786]],
  "species": ["Cd", "Cd", "Cd", "Cd", "Ir", "Ir", "Ir", "Ir"],
  "fractional_positions": [[0.333, 0.667, 0.082], [0.333, 0.667, 0.418], [0.667, 0.333, 0.582], [0.667, 0.333, 0.918], [0.000, 0.000, 0.250], [0.000, 0.000, 0.750], [0.333, 0.667, 0.750], [0.667, 0.333, 0.250]],
  "formation_energy_ev_per_atom": 0.234,
  "space_group": "No. 194"
}

=====

Entry 5:
{
  "formula": "CaAc6La4",
  "functional": "PBE",
  "state": "relaxed",
  "lattice_angstrom": [[-4.377, 4.377, 6.543], [4.377, -4.377, 6.543], [4.377, 4.377, -6.543]],
  "species": ["Ca", "Ac", "Ac", "Ac", "Ac", "Ac", "Ac", "La", "La", "La", "La"],
  "fractional_positions": [[0.000, 0.000, 0.000], [0.000, 0.500, 0.500], [0.094, 0.462, 0.000], [0.462, 0.094, 0.000], [0.500, 0.000, 0.500], [0.538, 0.538, 0.632], [0.906, 0.906, 0.368], [0.273, 0.273, 0.678], [0.404, 0.727, 0.000], [0.596, 0.596, 0.322], [0.727, 0.404, 0.000]],
  "e_above_lowest_polymorph_ev_per_atom": 0.1669,
  "formation_energy_ev_per_atom": 0.295,
  "space_group": "No. 121"
}

=====

Entry 6:
{
  "formula": "Cr3Co",
  "functional": "PBE",
  "state": "relaxed",
  "lattice_angstrom": [[8.398, 0.000, 0.000], [0.000, 2.449, 0.000], [-0.637, 0.000, 4.422]],
  "species": ["Cr", "Cr", "Cr", "Cr", "Cr", "Cr", "Co", "Co"],
  "fractional_positions": [[0.000, 0.000, 0.000], [0.240, 0.000, 0.742], [0.260, 0.500, 0.258], [0.500, 0.500, 0.000], [0.740, 0.500, 0.742], [0.760, 0.000, 0.258], [0.000, 0.500, 0.500], [0.500, 0.000, 0.500]],
  "formation_energy_ev_per_atom": 0.178,
  "space_group": "No. 12"
}

=====

Entry 7:
{
  "formula": "Zr3Tl2I9",
  "functional": "PBE",
  "state": "relaxed",
  "lattice_angstrom": [[5.821, -9.675, 0.000], [5.821, 9.675, 0.000], [-4.528, 0.000, 10.090]],
  "species": ["Zr", "Zr", "Zr", "Zr", "Zr", "Zr", "Tl", "Tl", "Tl", "Tl", "I", "I", "I", "I", "I", "I", "I", "I", "I", "I", "I", "I", "I", "I", "I", "I", "I", "I"],
  "fractional_positions": [[0.046, 0.224, 0.641], [0.128, 0.128, 0.369], [0.224, 0.046, 0.641], [0.776, 0.954, 0.359], [0.872, 0.872, 0.631], [0.954, 0.776, 0.359], [0.227, 0.553, 0.161], [0.447, 0.773, 0.839], [0.553, 0.227, 0.161], [0.773, 0.447, 0.839], [0.091, 0.882, 0.179], [0.107, 0.513, 0.831], [0.118, 0.909, 0.821], [0.202, 0.415, 0.515], [0.211, 0.789, 0.500], [0.284, 0.284, 0.202], [0.321, 0.321, 0.834], [0.415, 0.202, 0.515], [0.487, 0.893, 0.169], [0.513, 0.107, 0.831], [0.585, 0.798, 0.485], [0.679, 0.679, 0.166], [0.716, 0.716, 0.798], [0.789, 0.211, 0.500], [0.798, 0.585, 0.485], [0.882, 0.091, 0.179], [0.893, 0.487, 0.169], [0.909, 0.118, 0.821]],
  "e_form_raw_ev_per_atom": -0.766,
  "space_group": "No. 12"
}

=====

no.,calculated total energy (eV per cell),total magnetization (μB per formula unit)
1,-99.35,0.00
2,-83.82,5.06
3,-17.39,1.68
4,-37.24,0.48
5,-43.11,0.00
6,-70.53,0.00
7,-110.11,2.00